Density functional theory data (GGA-PBE) for a relaxed structure of Mn5Ru3.

energy relative to the lowest polymorph listed for this composition: 7 meV/atom
N(E_F): 0.856 states/eV per atom
SG: Pmmm
spin magnetization: 1.33 μB/atom
formation enthalpy at 0 K: 0.056 eV per atom
electronic total energy: -9.153 eV per atom

Lattice parameters (Å, degrees): 3.0603 4.1896 8.3334 90.00 90.00 90.00
Last column: nearest neighbours and their distance in Å.
Element x y z (fractional)
Mn  0.0000  0.0000  0.0000  4 Ru 2.56, 4 Mn 2.59
Mn  0.0000  0.0000  0.5000  8 Ru 2.59-2.61
Mn  0.0000  0.5000  0.2452  2 Mn 2.55, 6 Ru 2.59-2.62
Mn  0.0000  0.5000  0.7548  2 Mn 2.55, 6 Ru 2.59-2.62
Mn  0.5000  0.5000  0.0000  8 Mn 2.55-2.59
Ru  0.5000  0.0000  0.2469  8 Mn 2.56-2.61
Ru  0.5000  0.0000  0.7531  8 Mn 2.56-2.61
Ru  0.5000  0.5000  0.5000  8 Mn 2.59-2.62


Density functional theory data (GGA-PBE) for a relaxed structure of NbAlCo.

N(E_F): 1.583 states/eV per atom
SG: F-43m
spin magnetization: 0.00 μB/atom
formation enthalpy at 0 K: -0.236 eV per atom
electronic total energy: -7.209 eV per atom

Lattice parameters (Å, degrees): 5.7694 5.7694 5.7694 90.00 90.00 90.00
Last column: nearest neighbours and their distance in Å.
Element x y z (fractional)
Nb  0.0000  0.0000  0.0000  4 Co 2.50
Nb  0.0000  0.5000  0.5000  4 Co 2.50
Nb  0.5000  0.0000  0.5000  4 Co 2.50
Nb  0.5000  0.5000  0.0000  4 Co 2.50
Al  0.0000  0.0000  0.5000  4 Co 2.50
Al  0.0000  0.5000  0.0000  4 Co 2.50
Al  0.5000  0.0000  0.0000  4 Co 2.50
Al  0.5000  0.5000  0.5000  4 Co 2.50
Co  0.2500  0.2500  0.7500  4 Nb 2.50, 4 Al 2.50
Co  0.2500  0.7500  0.2500  4 Nb 2.50, 4 Al 2.50
Co  0.7500  0.2500  0.2500  4 Nb 2.50, 4 Al 2.50
Co  0.7500  0.7500  0.7500  4 Nb 2.50, 4 Al 2.50


Question: Which of these has the highest electronic total energy?
Answer: NbAlCo